No. 1
A crystal of AlCoHg3 relaxed with PBEsol. Source: Alexandria via LeMat-Bulk, functional SCAN.

a b c (Å): 4.898 4.898 4.898
angles (deg): 90.00 90.00 90.00
Space group Pm-3m (No. 221)
Unique sites:
Al1 0.000 0.000 0.000
Co1 0.500 0.500 0.500
Hg1 0.000 0.500 0.500

Calculated values
E_tot ... -45.31 eV per atom

***

No. 2
A crystal of AlCoHg2 relaxed with PBEsol. Source: Alexandria via LeMat-Bulk, functional SCAN.

a b c (Å): 8.498 8.498 4.622
angles (deg): 90.00 90.00 90.00
Space group I-42d (No. 122)
Unique sites:
Al1 0.000 0.000 0.000
Co1 0.000 0.000 0.500
Hg1 0.140 0.750 0.625

Calculated values
E_tot ... -39.93 eV per atom
Excess energy over the best structure of this formula in the dataset ... 217 meV/atom

***

No. 3
A crystal of AlCoHg2 relaxed with PBEsol. Source: Alexandria via LeMat-Bulk, functional SCAN.

a b c (Å): 3.0026 3.0026 26.3562
angles (deg): 90.00 90.00 120.00
Space group R3m (No. 160, hexagonal axes)
Unique sites:
Al1 0.0000 0.0000 0.0000
Co1 0.0000 0.0000 0.7286
Hg1 0.0000 0.0000 0.2426
Hg2 0.0000 0.0000 0.4742

Calculated values
E_tot ... -40.15 eV per atom
Excess energy over the best structure of this formula in the dataset ... 0 meV/atom

***

No. 4
A crystal of AlCoHg2 relaxed with PBEsol. Source: Alexandria via LeMat-Bulk, functional SCAN.

a b c (Å): 6.357 6.357 6.357
angles (deg): 90.00 90.00 90.00
Space group Fm-3m (No. 225)
Unique sites:
Al1 0.000 0.000 0.000
Co1 0.000 0.000 0.500
Hg1 0.250 0.250 0.250

Calculated values
E_tot ... -39.97 eV per atom
Excess energy over the best structure of this formula in the dataset ... 186 meV/atom

***

No. 5
A crystal of AlCo2Hg relaxed with PBEsol. Source: Alexandria via LeMat-Bulk, functional SCAN.

a b c (Å): 6.003 6.003 6.003
angles (deg): 90.00 90.00 90.00
Space group F-43m (No. 216)
Unique sites:
Al1 0.000 0.000 0.000
Co1 0.000 0.000 0.500
Co2 0.250 0.250 0.250
Hg1 0.250 0.250 0.750

Calculated values
E_tot ... -27.50 eV per atom
Excess energy over the best structure of this formula in the dataset ... 54 meV/atom

***

No. 6
A crystal of AlCo2Hg relaxed with PBEsol. Source: Alexandria via LeMat-Bulk, functional SCAN.

a b c (Å): 9.138 2.876 4.343
angles (deg): 90.00 108.40 90.00
Space group Cm (No. 8)
Unique sites:
Al1 0.000 0.000 0.000
Co1 0.242 0.500 0.191
Co2 0.466 0.000 0.451
Hg1 0.228 0.000 0.679

Calculated values
E_tot ... -27.55 eV per atom
Excess energy over the best structure of this formula in the dataset ... 0 meV/atom

***

No. 7
A crystal of KAl2CoHg relaxed with PBEsol. Source: Alexandria via LeMat-Bulk, functional SCAN.

a b c (Å): 5.530 5.530 4.471
angles (deg): 90.00 90.00 90.00
Space group P4/mmm (No. 123)
Unique sites:
K1 0.000 0.000 0.000
Al1 0.000 0.500 0.000
Co1 0.000 0.000 0.500
Hg1 0.500 0.500 0.500

Calculated values
E_tot ... -20.02 eV per atom

***

No. 8
A crystal of AlCoI2N relaxed with PBEsol. Source: Alexandria via LeMat-Bulk, functional SCAN.

a b c (Å): 5.375 5.375 3.482
angles (deg): 90.00 90.00 90.00
Space group P4/mmm (No. 123)
Unique sites:
Al1 0.000 0.000 0.000
Co1 0.500 0.500 0.500
I1 0.000 0.500 0.500
N1 0.500 0.500 0.000

Calculated values
E_tot ... -21.05 eV per atom
Excess energy over the best structure of this formula in the dataset ... 0 meV/atom
ΔE_f (raw) ... 521 meV per atom

***

Q: Among the records above, which one has the highest E_tot?
A: KAl2CoHg